No. 1
Compound: HfFeRe
Source: OQMD
Functional: PBE-GGA
Structure: relaxed

Unit cell a=4.2656 b=4.2656 c=4.2656 alpha=60.00 beta=60.00 gamma=60.00
Atoms (fractional coordinates):
Hf1 0.0000 0.0000 0.0000
Re1 0.7500 0.7500 0.7500
Fe1 0.2500 0.2500 0.2500

## Properties
- ΔE to the lowest computed polymorph (meV/atom) = 849
- SG = F-43m
- mass density (Mg/m³) = 12.724
- V (Å³/atom) = 18.29
- E_form (eV per atom) = 1.13

No. 2
Compound: HfFeRe
Source: OQMD
Functional: PBE-GGA
Structure: relaxed

Unit cell a=4.1573 b=4.1573 c=4.1573 alpha=60.00 beta=60.00 gamma=60.00
Atoms (fractional coordinates):
Fe1 0.0000 0.0000 0.0000
Re1 0.7500 0.7500 0.7500
Hf1 0.2500 0.2500 0.2500

## Properties
- ΔE to the lowest computed polymorph (meV/atom) = 0
- SG = F-43m
- mass density (Mg/m³) = 13.745
- V (Å³/atom) = 16.94
- E_form (eV per atom) = 0.28

No. 3
Compound: HfFeReSb
Source: OQMD
Functional: PBE-GGA
Structure: relaxed

Unit cell a=4.5070 b=4.5070 c=4.5070 alpha=60.00 beta=60.00 gamma=60.00
Atoms (fractional coordinates):
Hf1 0.5000 0.5000 0.5000
Sb1 0.0000 0.0000 0.0000
Re1 0.2500 0.2500 0.2500
Fe1 0.7500 0.7500 0.7500

## Properties
- ΔE to the lowest computed polymorph (meV/atom) = 0
- SG = F-43m
- mass density (Mg/m³) = 13.910
- V (Å³/atom) = 16.18

No. 4
Compound: HfTlFeRe
Source: OQMD
Functional: PBE-GGA
Structure: relaxed

Unit cell a=4.5778 b=4.5778 c=4.5778 alpha=60.00 beta=60.00 gamma=60.00
Atoms (fractional coordinates):
Fe1 0.7500 0.7500 0.7500
Tl1 0.0000 0.0000 0.0000
Re1 0.2500 0.2500 0.2500
Hf1 0.5000 0.5000 0.5000

## Properties
- ΔE to the lowest computed polymorph (meV/atom) = 0
- SG = F-43m
- mass density (Mg/m³) = 15.297
- V (Å³/atom) = 16.96

No. 5
Compound: HfTlFeRe
Source: OQMD
Functional: PBE-GGA
Structure: relaxed

Unit cell a=4.5929 b=4.5929 c=4.5929 alpha=60.00 beta=60.00 gamma=60.00
Atoms (fractional coordinates):
Hf1 0.2500 0.2500 0.2500
Fe1 0.7500 0.7500 0.7500
Re1 0.5000 0.5000 0.5000
Tl1 0.0000 0.0000 0.0000

## Properties
- ΔE to the lowest computed polymorph (meV/atom) = 79
- SG = F-43m
- mass density (Mg/m³) = 15.147
- V (Å³/atom) = 17.13

No. 6
Compound: HfFe2Sb
Source: OQMD
Functional: PBE-GGA
Structure: relaxed

Unit cell a=4.5294 b=4.5294 c=4.5294 alpha=60.00 beta=60.00 gamma=60.00
Site moments in Bohr magnetons follow the coordinates.
Atoms (fractional coordinates):
Sb1 0.5000 0.5000 0.5000  0.03
Fe1 0.7500 0.7500 0.7500  2.29
Hf1 0.2500 0.2500 0.2500  -0.33
Fe2 0.0000 0.0000 0.0000  2.33

## Properties
- raw total energy (eV per atom) = -7.56
- SG = F-43m
- mass density (Mg/m³) = 10.411
- V (Å³/atom) = 16.43

No. 7
Compound: HfScFeSb
Source: OQMD
Functional: PBE-GGA
Structure: relaxed

Unit cell a=4.6819 b=4.6819 c=4.6819 alpha=60.00 beta=60.00 gamma=60.00
Atoms (fractional coordinates):
Hf1 0.5000 0.5000 0.5000
Sc1 0.2500 0.2500 0.2500
Sb1 0.0000 0.0000 0.0000
Fe1 0.7500 0.7500 0.7500

## Properties
- ΔE to the lowest computed polymorph (meV/atom) = 0
- SG = F-43m
- mass density (Mg/m³) = 9.177
- V (Å³/atom) = 18.14

No. 8
Compound: YHfFeSb
Source: OQMD
Functional: PBE-GGA
Structure: relaxed

Unit cell a=4.8255 b=4.8255 c=4.8255 alpha=60.00 beta=60.00 gamma=60.00
Atoms (fractional coordinates):
Fe1 0.7500 0.7500 0.7500
Y1 0.2500 0.2500 0.2500
Sb1 0.0000 0.0000 0.0000
Hf1 0.5000 0.5000 0.5000

## Properties
- ΔE to the lowest computed polymorph (meV/atom) = 0
- SG = F-43m
- mass density (Mg/m³) = 9.300
- V (Å³/atom) = 19.86

No. 9
Compound: HfZnFeSb
Source: OQMD
Functional: PBE-GGA
Structure: relaxed

Unit cell a=4.6187 b=4.6187 c=4.6187 alpha=60.00 beta=60.00 gamma=60.00
Atoms (fractional coordinates):
Sb1 0.0000 0.0000 0.0000
Zn1 0.5000 0.5000 0.5000
Hf1 0.2500 0.2500 0.2500
Fe1 0.7500 0.7500 0.7500

## Properties
- ΔE to the lowest computed polymorph (meV/atom) = 107
- SG = F-43m
- mass density (Mg/m³) = 10.046
- V (Å³/atom) = 17.42

No. 10
Compound: HfZnFeSb
Source: OQMD
Functional: PBE-GGA
Structure: relaxed

Unit cell a=4.5607 b=4.5607 c=4.5607 alpha=60.00 beta=60.00 gamma=60.00
Atoms (fractional coordinates):
Sb1 0.0000 0.0000 0.0000
Zn1 0.2500 0.2500 0.2500
Hf1 0.5000 0.5000 0.5000
Fe1 0.7500 0.7500 0.7500

## Properties
- ΔE to the lowest computed polymorph (meV/atom) = 0
- SG = F-43m
- mass density (Mg/m³) = 10.434
- V (Å³/atom) = 16.77

No. 11
Compound: HfScFe4
Source: OQMD
Functional: PBE-GGA
Structure: relaxed

Unit cell a=4.9093 b=4.9093 c=4.9093 alpha=60.00 beta=60.00 gamma=60.00
Site moments in Bohr magnetons follow the coordinates.
Atoms (fractional coordinates):
Fe1 0.6250 0.1250 0.6250  1.94
Hf1 0.2500 0.2500 0.2500  -0.53
Fe2 0.1250 0.6250 0.6250  1.59
Fe3 0.6250 0.6250 0.1250  1.92
Sc1 0.0000 0.0000 0.0000  -0.39
Fe4 0.6250 0.6250 0.6250  1.89

## Properties
- SG = F-43m
- mass density (Mg/m³) = 8.868
- V (Å³/atom) = 13.94
- E_form (eV per atom) = -0.31

No. 12
Compound: HfScFeSi2
Source: OQMD
Functional: PBE-GGA
Structure: relaxed

Unit cell a=5.2674 b=5.2674 c=9.4104 alpha=116.52 beta=116.52 gamma=43.45
Atoms (fractional coordinates):
Si1 0.5121 0.5121 0.8752
Si2 0.4879 0.4879 0.1248
Si3 0.3527 0.3527 0.4320
Fe1 0.2755 0.2755 0.6278
Sc1 0.0041 0.0041 0.6743
Sc2 0.9959 0.9959 0.3257
Fe2 0.7245 0.7245 0.3722
Hf1 0.8131 0.8131 0.8972
Si4 0.6473 0.6473 0.5680
Hf2 0.1869 0.1869 0.1028

## Properties
- ΔE to the lowest computed polymorph (meV/atom) = 3
- SG = C2/m
- mass density (Mg/m³) = 7.076
- V (Å³/atom) = 15.74

No. 13
Compound: Hf2ScFe4Si4
Source: OQMD
Functional: PBE-GGA
Structure: relaxed

Unit cell a=7.3456 b=7.3456 c=7.3456 alpha=149.84 beta=128.07 gamma=61.23
Site moments in Bohr magnetons follow the coordinates.
Atoms (fractional coordinates):
Hf1 0.3734 0.8734 0.5000  -0.10
Si1 0.6916 0.5000 0.1916  -0.01
Fe1 0.3662 0.6752 0.6910  0.90
Hf2 0.6266 0.1266 0.5000  -0.10
Fe2 0.9841 0.6752 0.3090  0.90
Si2 0.7815 0.7815 0.0000  -0.03
Sc1 0.0000 0.0000 0.0000  -0.07
Si3 0.3084 0.5000 0.8084  -0.01
Fe3 0.0159 0.3248 0.6910  0.90
Si4 0.2185 0.2185 0.0000  -0.03
Fe4 0.6338 0.3248 0.3090  0.90

## Properties
- raw total energy (eV per atom) = -8.06
- SG = Immm
- mass density (Mg/m³) = 7.881
- V (Å³/atom) = 14.13

No. 14
Compound: HfScFeSi2
Source: OQMD
Functional: PBE-GGA
Structure: relaxed

Unit cell a=5.2847 b=5.2847 c=9.4375 alpha=116.60 beta=116.60 gamma=43.73
Atoms (fractional coordinates):
Fe1 0.2736 0.2736 0.1218
Sc1 0.1867 0.1867 0.6036
Si1 0.5104 0.5104 0.3736
Fe2 0.7264 0.7264 0.8782
Si2 0.6475 0.6475 0.0724
Hf1 0.9990 0.9990 0.1722
Sc2 0.8133 0.8133 0.3964
Si3 0.4896 0.4896 0.6264
Si4 0.3525 0.3525 0.9276
Hf2 0.0010 0.0010 0.8278

## Properties
- ΔE to the lowest computed polymorph (meV/atom) = 0
- SG = C2/m
- mass density (Mg/m³) = 6.981
- V (Å³/atom) = 15.96

No. 15
Compound: HfScFeSn
Source: OQMD
Functional: PBE-GGA
Structure: relaxed

Unit cell a=4.6538 b=4.6538 c=4.6538 alpha=60.00 beta=60.00 gamma=60.00
Atoms (fractional coordinates):
Hf1 0.5000 0.5000 0.5000
Fe1 0.7500 0.7500 0.7500
Sc1 0.2500 0.2500 0.2500
Sn1 0.0000 0.0000 0.0000

## Properties
- ΔE to the lowest computed polymorph (meV/atom) = 0
- SG = F-43m
- mass density (Mg/m³) = 9.273
- V (Å³/atom) = 17.82

No. 16
Compound: HfFeSi
Source: OQMD
Functional: PBE-GGA
Structure: relaxed

Unit cell a=4.0906 b=4.0906 c=4.0906 alpha=60.00 beta=60.00 gamma=60.00
Atoms (fractional coordinates):
Si1 0.7500 0.7500 0.7500
Hf1 0.2500 0.2500 0.2500
Fe1 0.0000 0.0000 0.0000

## Properties
- raw total energy (eV per atom) = -8.19
- SG = F-43m
- mass density (Mg/m³) = 9.004
- V (Å³/atom) = 16.13

No. 17
Compound: HfFeSi2
Source: OQMD
Functional: PBE-GGA
Structure: relaxed

Unit cell a=4.3395 b=4.3395 c=4.3395 alpha=60.00 beta=60.00 gamma=60.00
Atoms (fractional coordinates):
Hf1 0.5000 0.5000 0.5000
Si1 0.0000 0.0000 0.0000
Si2 0.7500 0.7500 0.7500
Fe1 0.2500 0.2500 0.2500

## Properties
- raw total energy (eV per atom) = -7.36
- SG = F-43m
- mass density (Mg/m³) = 8.348
- V (Å³/atom) = 14.45

No. 18
Compound: HfFeSi
Source: OQMD
Functional: PBE-GGA
Structure: relaxed

Unit cell a=4.0685 b=4.0685 c=6.2035 alpha=90.00 beta=90.00 gamma=120.00
Site moments in Bohr magnetons follow the coordinates.
Atoms (fractional coordinates):
Fe1 0.6667 0.3333 0.5401  0.83
Si1 0.6667 0.3333 0.9720  0.00
Hf1 0.0000 0.0000 0.7379  -0.03
Si2 0.3333 0.6667 0.4720  -0.01
Fe2 0.3333 0.6667 0.0401  0.83
Hf2 0.0000 0.0000 0.2379  -0.04

## Properties
- raw total energy (eV per atom) = -8.48
- SG = P6_3mc
- mass density (Mg/m³) = 9.800
- V (Å³/atom) = 14.82

No. 19
Compound: HfFeSi2
Source: OQMD
Functional: PBE-GGA
Structure: relaxed

Unit cell a=4.3405 b=4.3405 c=4.3405 alpha=60.00 beta=60.00 gamma=60.00
Atoms (fractional coordinates):
Fe1 0.5000 0.5000 0.5000
Hf1 0.2500 0.2500 0.2500
Si1 0.7500 0.7500 0.7500
Si2 0.0000 0.0000 0.0000

## Properties
- raw total energy (eV per atom) = -7.36
- SG = F-43m
- mass density (Mg/m³) = 8.342
- V (Å³/atom) = 14.46

No. 20
Compound: HfFeSi
Source: OQMD
Functional: PBE-GGA
Structure: relaxed

Unit cell a=6.3326 b=3.9616 c=6.9216 alpha=90.00 beta=90.00 gamma=90.00
Atoms (fractional coordinates):
Si1 0.2899 0.2500 0.6062
Fe1 0.3428 0.7500 0.4371
Fe2 0.6572 0.2500 0.5629
Si2 0.2101 0.7500 0.1062
Si3 0.7101 0.7500 0.3938
Hf1 0.9942 0.2500 0.3011
Hf2 0.5058 0.7500 0.8011
Fe3 0.1572 0.2500 0.9371
Fe4 0.8428 0.7500 0.0629
Hf3 0.0058 0.7500 0.6989
Si4 0.7899 0.2500 0.8938
Hf4 0.4942 0.2500 0.1989

## Properties
- raw total energy (eV per atom) = -8.67
- SG = Pnma
- mass density (Mg/m³) = 10.038
- V (Å³/atom) = 14.47

No. 21
Compound: HfFe2Si
Source: OQMD
Functional: PBE-GGA
Structure: relaxed

Unit cell a=4.2873 b=4.2873 c=4.2873 alpha=60.00 beta=60.00 gamma=60.00
Site moments in Bohr magnetons follow the coordinates.
Atoms (fractional coordinates):
Hf1 0.2500 0.2500 0.2500  -0.12
Fe1 0.0000 0.0000 0.0000  2.16
Fe2 0.7500 0.7500 0.7500  2.27
Si1 0.5000 0.5000 0.5000  0.01

## Properties
- raw total energy (eV per atom) = -8.17
- SG = F-43m
- mass density (Mg/m³) = 9.484
- V (Å³/atom) = 13.93

No. 22
Compound: HfFeSi2
Source: OQMD
Functional: PBE-GGA
Structure: relaxed

Unit cell a=5.1014 b=7.6286 c=10.7680 alpha=110.75 beta=103.70 gamma=90.00
Site moments in Bohr magnetons follow the coordinates.
Atoms (fractional coordinates):
Si1 0.2397 0.0000 0.0000  0.00
Si2 0.8446 0.1920 0.6893  0.00
Fe1 0.5000 0.2521 0.0000  0.32
Si3 0.1554 0.8080 0.3107  0.00
Hf1 0.8559 0.8559 0.7118  0.00
Fe2 0.0000 0.5000 0.5000  0.29
Hf2 0.1441 0.1441 0.2882  0.00
Hf3 0.6165 0.8667 0.2331  -0.01
Si4 0.7603 0.0000 0.0000  0.00
Fe3 0.5000 0.7479 0.0000  0.32
Si5 0.7171 0.2171 0.4342  -0.01
Fe4 0.5000 0.0000 0.5000  0.29
Si6 0.7148 0.7148 0.4295  -0.01
Si7 0.2461 0.5000 0.0000  0.00
Si8 0.2852 0.2852 0.5705  -0.01
Hf4 0.3835 0.6337 0.7669  -0.01
Si9 0.2829 0.7829 0.5658  -0.01
Fe5 0.5000 0.5000 0.5000  0.29
Si10 0.7539 0.5000 0.0000  0.00
Hf5 0.6165 0.3663 0.2331  -0.01
Si11 0.1554 0.5028 0.3107  0.00
Si12 0.8446 0.4972 0.6893  0.00
Fe6 0.0000 0.0000 0.5000  0.29
Hf6 0.3835 0.1333 0.7669  -0.01

## Properties
- raw total energy (eV per atom) = -7.55
- SG = Immm
- mass density (Mg/m³) = 7.635
- V (Å³/atom) = 15.80

No. 23
Compound: HfFeSi2
Source: OQMD
Functional: PBE-GGA
Structure: relaxed

Unit cell a=5.1346 b=7.6946 c=9.6489 alpha=113.50 beta=105.43 gamma=90.00
Atoms (fractional coordinates):
Si1 0.2978 0.2978 0.5957
Hf1 0.1417 0.1417 0.2834
Si2 0.8606 0.2093 0.7212
Fe1 0.0000 0.0000 0.5000
Hf2 0.5957 0.3344 0.1915
Si3 0.1394 0.7907 0.2788
Si4 0.7454 0.0000 0.0000
Fe2 0.0000 0.7453 0.0000
Si5 0.7144 0.2144 0.4287
Hf3 0.5957 0.8571 0.1915
Si6 0.8606 0.5119 0.7212
Hf4 0.4043 0.6656 0.8085
Hf5 0.4043 0.1429 0.8085
Fe3 0.0000 0.2547 0.0000
Si7 0.7416 0.5000 0.0000
Si8 0.1394 0.4881 0.2788
Hf6 0.8583 0.8583 0.7166
Si9 0.2584 0.5000 0.0000
Si10 0.2856 0.7856 0.5713
Fe4 0.0000 0.5000 0.5000
Si11 0.7022 0.7022 0.4043
Fe5 0.5000 0.5000 0.5000
Fe6 0.5000 0.0000 0.5000
Si12 0.2546 0.0000 0.0000

## Properties
- raw total energy (eV per atom) = -7.97
- SG = Immm
- mass density (Mg/m³) = 8.651
- V (Å³/atom) = 13.94

No. 24
Compound: HfFeSiTc
Source: OQMD
Functional: PBE-GGA
Structure: relaxed

Unit cell a=4.3057 b=4.3057 c=4.3057 alpha=60.00 beta=60.00 gamma=60.00
Atoms (fractional coordinates):
Fe1 0.7500 0.7500 0.7500
Si1 0.0000 0.0000 0.0000
Tc1 0.2500 0.2500 0.2500
Hf1 0.5000 0.5000 0.5000

## Properties
- ΔE to the lowest computed polymorph (meV/atom) = 0
- SG = F-43m
- mass density (Mg/m³) = 10.604
- V (Å³/atom) = 14.11

No. 25
Compound: HfFeSiTc
Source: OQMD
Functional: PBE-GGA
Structure: relaxed

Unit cell a=4.4122 b=4.4122 c=4.4122 alpha=60.00 beta=60.00 gamma=60.00
Atoms (fractional coordinates):
Si1 0.0000 0.0000 0.0000
Hf1 0.2500 0.2500 0.2500
Fe1 0.7500 0.7500 0.7500
Tc1 0.5000 0.5000 0.5000

## Properties
- ΔE to the lowest computed polymorph (meV/atom) = 416
- SG = F-43m
- mass density (Mg/m³) = 9.854
- V (Å³/atom) = 15.18

No. 26
Compound: TmHfFeSi2
Source: OQMD
Functional: PBE-GGA
Structure: relaxed

Unit cell a=5.3637 b=5.3637 c=9.6615 alpha=117.16 beta=117.16 gamma=43.69
Atoms (fractional coordinates):
Si1 0.3453 0.3453 0.4284
Si2 0.4887 0.4887 0.1214
Tm1 0.9923 0.9923 0.3225
Si3 0.6547 0.6547 0.5716
Si4 0.5113 0.5113 0.8786
Hf1 0.1841 0.1841 0.0999
Fe1 0.2773 0.2773 0.6280
Fe2 0.7227 0.7227 0.3720
Tm2 0.0077 0.0077 0.6775
Hf2 0.8159 0.8159 0.9001

## Properties
- ΔE to the lowest computed polymorph (meV/atom) = 30
- SG = C2/m
- mass density (Mg/m³) = 9.127
- V (Å³/atom) = 16.72